[1]
Density functional theory data (PBE-GGA) for Rb2CrSnBr6 after structural relaxation.

Output
magnetization: 4.0 μB/f.u.
ρ: 4.0 Mg/m³
E_form (uncorrected): -1.123 eV per atom
energy above the lowest structure with this stoichiometry: 0.000 eV/atom

abc: 7.7591 7.8790 13.5486
angles: 90.00 124.67 90.00
Closest atoms and distances in Å follow each position.
Positions (direct):
Rb 0.2365 0.0463 0.2488  8 Br 3.53-3.82
Rb 0.2365 0.4537 0.7488  8 Br 3.53-3.82
Rb 0.7635 0.5463 0.2512  8 Br 3.53-3.82
Rb 0.7635 0.9537 0.7512  8 Br 3.53-3.82
Cr 0.0000 0.0000 0.5000  6 Br 2.65-2.68
Cr 0.0000 0.5000 0.0000  6 Br 2.65-2.68
Sn 0.5000 0.0000 0.0000  6 Br 2.97-2.98
Sn 0.5000 0.5000 0.5000  6 Br 2.97-2.98
Br 0.1670 0.2258 0.9709  1 Cr 2.66, 1 Sn 2.97
Br 0.1670 0.2742 0.4709  1 Cr 2.66, 1 Sn 2.97
Br 0.2454 0.6968 0.9709  1 Cr 2.65
Br 0.2454 0.8032 0.4709  1 Cr 2.65
Br 0.2930 0.0055 0.7366  1 Cr 2.68, 1 Sn 2.97
Br 0.2930 0.4945 0.2366  1 Cr 2.68, 1 Sn 2.97
Br 0.7070 0.5055 0.7634  1 Cr 2.68, 1 Sn 2.97
Br 0.7070 0.9945 0.2634  1 Cr 2.68, 1 Sn 2.97
Br 0.7546 0.1968 0.5291  1 Cr 2.65
Br 0.7546 0.3032 0.0291  1 Cr 2.65
Br 0.8330 0.7258 0.5291  1 Cr 2.66, 1 Sn 2.97
Br 0.8330 0.7742 0.0291  1 Cr 2.66, 1 Sn 2.97

=====

[2]
Density functional theory data (PBE-GGA) for NaCa2Bi after structural relaxation.

Output
magnetization: 0.0 μB/f.u.
ρ: 3.4 Mg/m³
ΔE_f: 0.030 eV per atom

abc: 12.8007 12.8007 12.8007
angles: 16.88 16.88 16.88
Closest atoms and distances in Å follow each position.
Positions (direct):
Na 0.0000 0.0000 0.0000  6 Na 3.76, 6 Ca 3.81
Ca 0.4161 0.4161 0.4161  1 Bi 3.18
Ca 0.5839 0.5839 0.5839  1 Bi 3.18
Bi 0.5000 0.5000 0.5000  2 Ca 3.18

=====

[3]
Density functional theory data (PBE-GGA) for Hf4GaBi after structural relaxation.

Output
magnetization: 0.0 μB/f.u.
ρ: 12.1 Mg/m³
ΔE_f: -0.110 eV per atom

abc: 7.9226 7.9226 5.6366
angles: 110.71 110.71 24.30
Closest atoms and distances in Å follow each position.
Positions (direct):
Hf 0.1677 0.1677 0.4876  7 Hf 3.01-3.34, 1 Ga 3.02, 2 Bi 3.11
Hf 0.3312 0.3312 0.9899  9 Hf 3.04-3.38, 2 Ga 3.08, 1 Bi 3.11
Hf 0.6688 0.6688 0.0101  9 Hf 3.04-3.38, 2 Ga 3.08, 1 Bi 3.11
Hf 0.8323 0.8323 0.5124  7 Hf 3.01-3.34, 1 Ga 3.02, 2 Bi 3.11
Ga 0.0000 0.0000 0.0000  6 Hf 3.02-3.08, 4 Bi 3.27, 2 Ga 3.34
Bi 0.5000 0.5000 0.5000  6 Hf 3.11, 4 Ga 3.27, 2 Bi 3.34

=====

[4]
Density functional theory data (PBE-GGA) for TaTi2VH after structural relaxation.

Output
magnetization: 0.6 μB/f.u.
ρ: 8.0 Mg/m³
energy above the lowest structure with this stoichiometry: 0.000 eV/atom

abc: 3.8779 3.8779 4.5125
angles: 90.00 90.00 90.00
Closest atoms and distances in Å follow each position.
Positions (direct):
Ta 0.0000 0.0000 0.0000  4 V 2.74, 8 Ti 2.97
Ti 0.0000 0.5000 0.5000  2 H 1.94
Ti 0.5000 0.0000 0.5000  2 H 1.94
V 0.5000 0.5000 0.0000  2 H 2.26
H 0.5000 0.5000 0.5000  4 Ti 1.94

=====

[5]
Density functional theory data (PBE-GGA) for PaNiPb2 after structural relaxation.

Output
magnetization: 0.2 μB/f.u.
ρ: 11.9 Mg/m³
ΔE_f: 0.380 eV per atom

abc: 10.7049 10.7049 10.7049
angles: 17.63 17.63 17.63
Closest atoms and distances in Å follow each position.
Positions (direct):
Pa 0.0000 0.0000 0.0000  2 Pb 3.28, 6 Pa 3.28
Ni 0.5000 0.5000 0.5000  6 Pb 2.75
Pb 0.1036 0.1036 0.1036  3 Ni 2.75
Pb 0.8964 0.8964 0.8964  3 Ni 2.75

=====

[6]
Density functional theory data (PBE-GGA) for Ba8Bi5Te after structural relaxation.

Output
magnetization: 0.0 μB/f.u.
ρ: 6.1 Mg/m³
E_form (uncorrected): -1.057 eV per atom

abc: 9.2781 9.2781 9.2781
angles: 109.50 109.50 109.41
Closest atoms and distances in Å follow each position.
Positions (direct):
Ba 0.1238 0.2331 0.7494  1 Te 3.56, 5 Bi 3.56-3.88
Ba 0.1276 0.7362 0.7509  5 Bi 3.56-3.87, 1 Te 3.88
Ba 0.2638 0.0147 0.3914  5 Bi 3.56-3.87, 1 Te 3.88
Ba 0.4836 0.3744 0.2506  1 Te 3.56, 5 Bi 3.56-3.88
Ba 0.6233 0.8724 0.6086  5 Bi 3.56-3.87, 1 Te 3.88
Ba 0.6256 0.8762 0.1092  1 Te 3.56, 5 Bi 3.56-3.88
Ba 0.7669 0.5164 0.8908  1 Te 3.56, 5 Bi 3.56-3.88
Ba 0.9853 0.3767 0.2491  5 Bi 3.56-3.87, 1 Te 3.88
Bi 0.0000 0.0000 0.0000  8 Ba 3.57-3.86
Bi 0.2499 0.6258 0.1231  8 Ba 3.56-3.88
Bi 0.3742 0.4973 0.6242  8 Ba 3.56-3.88
Bi 0.5027 0.1268 0.8769  8 Ba 3.56-3.88
Bi 0.8732 0.7501 0.3758  8 Ba 3.56-3.88
Te 0.7500 0.2500 0.5000  8 Ba 3.56-3.88

=====

[7]
Density functional theory data (PBE-GGA) for Al2IrBr after structural relaxation.

Output
magnetization: 0.0 μB/f.u.
ρ: 6.7 Mg/m³
E_form (uncorrected): -0.098 eV per atom
energy above the lowest structure with this stoichiometry: 0.415 eV/atom

abc: 3.9676 4.6959 4.9361
angles: 78.06 89.98 65.09
Closest atoms and distances in Å follow each position.
Positions (direct):
Al 0.0000 0.0000 0.0000  2 Ir 2.38-2.61, 1 Br 2.59
Al 0.3534 0.2952 0.4161  3 Ir 2.54-2.74
Ir 0.0445 0.9121 0.4940  4 Al 2.38-2.61
Br 0.6888 0.6217 0.8321  3 Al 2.59-2.80, 2 Ir 2.70

=====

[8]
Density functional theory data (PBE-GGA) for CePaMoN5 after structural relaxation.

Output
magnetization: 0.0 μB/f.u.
ρ: 7.2 Mg/m³
E_form (uncorrected): -1.056 eV per atom

abc: 6.0542 6.0542 7.6812
angles: 103.98 103.98 105.18
Closest atoms and distances in Å follow each position.
Positions (direct):
Ce 0.1721 0.8279 0.7500  1 N 2.15
Ce 0.8279 0.1721 0.2500  1 N 2.15
Pa 0.5000 0.5000 0.0000  6 N 2.17-2.31
Pa 0.5000 0.5000 0.5000  6 N 2.17-2.31
Mo 0.1728 0.8272 0.2500  4 N 1.84-1.90
Mo 0.8272 0.1728 0.7500  4 N 1.84-1.90
N 0.1222 0.2121 0.9158  1 Mo 1.84
N 0.1652 0.5927 0.3771  1 Mo 1.90
N 0.2121 0.1222 0.4158  1 Mo 1.84
N 0.3959 0.6041 0.7500  1 Ce 2.15, 2 Pa 2.17
N 0.4073 0.8348 0.1229  1 Mo 1.90
N 0.5927 0.1652 0.8771  1 Mo 1.90
N 0.6041 0.3959 0.2500  1 Ce 2.15, 2 Pa 2.17
N 0.7879 0.8778 0.5842  1 Mo 1.84
N 0.8348 0.4073 0.6229  1 Mo 1.90
N 0.8778 0.7879 0.0842  1 Mo 1.84

=====

[9]
Density functional theory data (PBE-GGA) for Mn4NbV3 after structural relaxation.

Output
magnetization: 0.0 μB/f.u.
ρ: 7.7 Mg/m³
ΔE_f: -0.199 eV per atom

abc: 2.9322 4.1445 8.2717
angles: 90.00 90.00 90.00
Closest atoms and distances in Å follow each position.
Positions (direct):
Mn 0.0000 0.0000 0.0000  8 V 2.48-2.54
Mn 0.0000 0.0000 0.5000  4 Nb 2.54, 4 V 2.59
Mn 0.0000 0.5000 0.2392  6 V 2.46-2.54, 2 Nb 2.61
Mn 0.0000 0.5000 0.7608  6 V 2.46-2.54, 2 Nb 2.61
Nb 0.5000 0.5000 0.5000  8 Mn 2.54-2.61
V 0.5000 0.0000 0.2422  8 Mn 2.48-2.59
V 0.5000 0.0000 0.7578  8 Mn 2.48-2.59
V 0.5000 0.5000 0.0000  8 Mn 2.46-2.54

=====

[10]
Density functional theory data (PBE-GGA) for CrSe6Br12 after structural relaxation.

Output
magnetization: 0.1 μB/f.u.
ρ: 3.6 Mg/m³
E_form (uncorrected): -0.105 eV per atom

abc: 9.5561 9.5561 9.5561
angles: 108.90 108.90 108.90
Closest atoms and distances in Å follow each position.
Positions (direct):
Cr 0.0000 0.0000 0.0000  6 Se 2.37
Se 0.0501 0.2816 0.0859  1 Cr 2.37, 2 Br 2.44-2.45
Se 0.0859 0.0501 0.2816  1 Cr 2.37, 2 Br 2.44-2.45
Se 0.2816 0.0859 0.0501  1 Cr 2.37, 2 Br 2.44-2.45
Se 0.7184 0.9141 0.9499  1 Cr 2.37, 2 Br 2.44-2.45
Se 0.9141 0.9499 0.7184  1 Cr 2.37, 2 Br 2.44-2.45
Se 0.9499 0.7184 0.9141  1 Cr 2.37, 2 Br 2.44-2.45
Br 0.0144 0.2154 0.7086  1 Se 2.45
Br 0.1542 0.4421 0.3885  1 Se 2.44
Br 0.2154 0.7086 0.0144  1 Se 2.45
Br 0.2914 0.9856 0.7846  1 Se 2.45
Br 0.3885 0.1542 0.4421  1 Se 2.44
Br 0.4421 0.3885 0.1542  1 Se 2.44
Br 0.5579 0.6115 0.8458  1 Se 2.44
Br 0.6115 0.8458 0.5579  1 Se 2.44
Br 0.7086 0.0144 0.2154  1 Se 2.45
Br 0.7846 0.2914 0.9856  1 Se 2.45
Br 0.8458 0.5579 0.6115  1 Se 2.44
Br 0.9856 0.7846 0.2914  1 Se 2.45

=====

[11]
Density functional theory data (PBE-GGA) for BeReSi2 after structural relaxation.

Output
magnetization: 0.0 μB/f.u.
ρ: 8.0 Mg/m³
E_form (uncorrected): 0.082 eV per atom

abc: 4.5494 4.5494 4.0999
angles: 95.20 95.20 38.28
Closest atoms and distances in Å follow each position.
Positions (direct):
Be 0.0000 0.0000 0.0000  3 Si 2.35-2.48, 3 Re 2.59-2.62
Re 0.2672 0.2672 0.7563  7 Si 2.48-2.59, 3 Be 2.59-2.62
Si 0.5338 0.5338 0.5697  2 Be 2.35, 1 Si 2.37, 3 Re 2.48-2.56
Si 0.7445 0.7445 0.2364  1 Si 2.37, 1 Be 2.48, 4 Re 2.49-2.59

=====

[12]
Density functional theory data (PBE-GGA) for Zr2HPdPt after structural relaxation.

Output
magnetization: 0.0 μB/f.u.
ρ: 10.6 Mg/m³
energy above the lowest structure with this stoichiometry: 0.000 eV/atom

abc: 4.4016 4.4016 3.9344
angles: 90.00 90.00 90.00
Closest atoms and distances in Å follow each position.
Positions (direct):
Zr 0.0000 0.5000 0.0000  2 H 2.20
Zr 0.5000 0.0000 0.0000  2 H 2.20
H 0.0000 0.0000 0.0000  2 Pd 1.97, 4 Zr 2.20
Pd 0.0000 0.0000 0.5000  2 H 1.97
Pt 0.5000 0.5000 0.5000  8 Zr 2.95, 4 Pd 3.11